Entry 1:
VASP calculation (GGA+U) on an optimized crystal structure of Ac2NiBiO6.

Unit cell a=5.9800 b=5.8811 c=6.0365 alpha=119.15 beta=121.08 gamma=90.00
With the nearest neighbours (Å) after each atom.
Atoms (fractional coordinates):
O 0.6404 0.2425 0.4850  1 Ni 2.17, 1 Bi 2.26
O 0.3596 0.7575 0.5150  1 Ni 2.17, 1 Bi 2.26
O 0.2001 0.6967 0.8777  1 Ni 2.07, 1 Bi 2.25
O 0.2001 0.1810 0.8777  1 Ni 2.07, 1 Bi 2.25
O 0.7999 0.8190 0.1223  1 Ni 2.07, 1 Bi 2.25
O 0.7999 0.3033 0.1223  1 Ni 2.07, 1 Bi 2.25
Ac 0.2357 0.2543 0.5085  5 O 2.50-2.59
Ac 0.7643 0.7457 0.4915  5 O 2.50-2.59
Ni 0.5000 0.0000 0.0000  6 O 2.07-2.17
Bi 0.0000 0.5000 0.0000  6 O 2.25-2.26

***

Entry 2:
VASP calculation (GGA+U) on an optimized crystal structure of AcNi2BiO6.

Unit cell a=5.7329 b=5.8639 c=8.1550 alpha=90.00 beta=89.98 gamma=90.00
With the nearest neighbours (Å) after each atom.
Atoms (fractional coordinates):
O 0.1452 0.2194 0.1428  1 Ni 2.07, 1 Bi 2.18
O 0.1565 0.3248 0.7917  2 Ni 2.11-2.15, 1 Bi 2.18
O 0.3435 0.8248 0.7083  2 Ni 2.11-2.15, 1 Bi 2.18
O 0.8435 0.6752 0.2083  2 Ni 2.11-2.15, 1 Bi 2.18
O 0.6452 0.2806 0.6428  1 Ni 2.07, 1 Bi 2.18
O 0.3342 0.6393 0.0198  2 Ni 2.03-2.14, 1 Bi 2.09
O 0.8342 0.8607 0.5198  2 Ni 2.03-2.14, 1 Bi 2.09
O 0.8548 0.7806 0.8572  1 Ni 2.07, 1 Bi 2.18
O 0.1658 0.1393 0.4802  2 Ni 2.03-2.14, 1 Bi 2.09
O 0.6658 0.3607 0.9802  2 Ni 2.03-2.14, 1 Bi 2.09
O 0.6565 0.1752 0.2917  2 Ni 2.11-2.15, 1 Bi 2.18
O 0.3548 0.7194 0.3572  1 Ni 2.07, 1 Bi 2.18
Ni 0.0246 0.0045 0.7023  5 O 2.03-2.15
Ni 0.9754 0.9955 0.2977  5 O 2.03-2.15
Ni 0.4754 0.5045 0.7977  5 O 2.03-2.15
Ni 0.5246 0.4955 0.2023  5 O 2.03-2.15
Ac 0.5000 0.0000 0.0000  2 O 2.32
Ac 0.0000 0.5000 0.5000  2 O 2.32
Bi 0.5000 0.0000 0.5000  6 O 2.09-2.18
Bi 0.0000 0.5000 0.0000  6 O 2.09-2.18

***

Entry 3:
VASP calculation (GGA+U) on an optimized crystal structure of AcNiBi2O6.

Unit cell a=5.1420 b=6.5453 c=6.8550 alpha=49.94 beta=73.43 gamma=73.89
With the nearest neighbours (Å) after each atom.
Atoms (fractional coordinates):
Bi 0.4997 0.4953 0.3900  3 O 2.10-2.23
Bi 0.0053 0.0075 0.9664  6 O 2.23-2.38
O 0.2302 0.3924 0.7391  1 Ni 1.97, 1 Bi 2.16
O 0.2415 0.6977 0.8891  1 Ni 2.03
O 0.2392 0.9292 0.2556  1 Ni 2.01
O 0.8097 0.6783 0.3488  2 Bi 2.10-2.23
O 0.7417 0.1189 0.6817  2 Bi 2.23-2.30, 1 Ac 2.41
O 0.7179 0.2820 0.0516  1 Ni 1.93
Ni 0.3389 0.3029 0.0421  4 O 1.93-2.03
Ac 0.8375 0.7574 0.6509  5 O 2.41-2.66

***

Calculated electronic total energy, -6.617 -5.761 -5.959 eV per atom (same order as the records).